[1]
SnTeSe2Br: relaxed, PBE-GGA.

Cell: 5.482 5.482 5.344 Å, 90.00 90.00 90.00°
Sites, in units of the cell vectors:
Te: 0.000 0.000 0.000
Se: 0.000 0.500 0.000
Se: 0.500 0.000 0.000
Sn: 0.500 0.500 0.500
Br: 0.000 0.000 0.500

Values from the calculation:
calculated total energy = -14.9 eV per formula unit
space group = P4/mmm, No. 123
Fermi-level density of states = 0.80 states/eV per cell
ΔE_f (raw) = 0.180 eV/atom
polymorph energy (0 for the lowest one) = 0.00 eV per formula unit



[2]
KHf3O: relaxed, PBE-GGA.

Cell: 4.645 4.645 4.645 Å, 90.00 90.00 90.00°
Sites, in units of the cell vectors:
K: 0.500 0.500 0.500
Hf: 0.000 0.500 0.000
Hf: 0.000 0.000 0.500
Hf: 0.500 0.000 0.000
O: 0.000 0.000 0.000

Values from the calculation:
calculated total energy = -36.4 eV per formula unit
space group = Pm-3m, No. 221
Fermi-level density of states = 3.03 states/eV per cell
ΔE_f (raw) = -0.100 eV/atom
polymorph energy (0 for the lowest one) = 0.00 eV per formula unit



[3]
HoNiIr: relaxed, PBE-GGA.

Cell: 3.756 4.121 4.121 Å, 120.00 90.00 90.00°
Sites, in units of the cell vectors:
Ni: 0.167 0.000 0.000
Ir: 0.167 0.333 0.667
Ho: 0.667 0.667 0.333

Values from the calculation:
calculated total energy = -20.9 eV per formula unit
space group = P-6m2, No. 187
Fermi-level density of states = 1.50 states/eV per cell



Number 1: calculated density 5.0 g cm⁻³. Number 2: calculated density 9.8 g cm⁻³. Number 3: calculated density 12.5 g cm⁻³.